Below is a crystal of PIrRh relaxed with PBEsol, with properties calculated at the meta-GGA SCAN level.

The space group is F-43m (No. 216) and the conventional cell measures 5.505, 5.505 and 5.505 Å, with angles of 90.00, 90.00 and 90.00 degrees. The distinct sites, in fractional coordinates, are P at (0.000, 0.000, 0.000), Ir at (0.250, 0.250, 0.250) and Rh at (0.250, 0.250, 0.750).

The energy is -2.874 Ry per atom. The calculation puts the calculated formation energy at -0.68 eV/atom. The total magnetization comes out at 0.0 μB/cell.